[1]
BeCrW2: PBEsol geometry, meta-GGA SCAN.

The value obtained for the energy of formation from the pure elements is 194 meV/atom. The volume comes out at 104.5 Å³/cell.

The space group is Cm (No. 8) and the conventional cell measures 9.2660, 3.0511 and 4.1196 Å, with angles of 90.00, 116.19 and 90.00 degrees. Symmetry generates all atoms from Be at (0.0000, 0.0000, 0.0000), Cr at (0.2582, 0.0000, 0.7593), W at (0.0220, 0.5000, 0.5221) and W at (0.2647, 0.5000, 0.2649).



[2]
BeCr2W: PBEsol geometry, meta-GGA SCAN.

The value obtained for the energy of formation from the pure elements is 154 meV/atom. The volume comes out at 188.8 Å³/cell.

The space group is F-43m (No. 216) and the conventional cell measures 5.7364, 5.7364 and 5.7364 Å, with angles of 90.00, 90.00 and 90.00 degrees. Symmetry generates all atoms from Be at (0.0000, 0.0000, 0.0000), Cr at (0.0000, 0.0000, 0.5000), Cr at (0.2500, 0.2500, 0.2500) and W at (0.2500, 0.2500, 0.7500).



[3]
BeCrW2: PBEsol geometry, meta-GGA SCAN.

The value obtained for the energy of formation from the pure elements is 163 meV/atom. The volume comes out at 103.6 Å³/cell.

The space group is Cmm2 (No. 35) and the conventional cell measures 3.1673, 4.2392 and 7.7149 Å, with angles of 90.00, 90.00 and 90.00 degrees. Symmetry generates all atoms from Be at (0.0000, 0.0000, 0.0000), Cr at (0.0000, 0.5000, 0.7928), W at (0.0000, 0.0000, 0.5280) and W at (0.0000, 0.5000, 0.2348).



[4]
BeCr2W: PBEsol geometry, meta-GGA SCAN.

The value obtained for the energy of formation from the pure elements is 253 meV/atom. The volume comes out at 94.7 Å³/cell.

The space group is I-4m2 (No. 119) and the conventional cell measures 3.4886, 3.4886 and 7.7831 Å, with angles of 90.00, 90.00 and 90.00 degrees. Symmetry generates all atoms from Be at (0.0000, 0.0000, 0.0000), Cr at (0.0000, 0.0000, 0.5000), Cr at (0.0000, 0.5000, 0.2500) and W at (0.0000, 0.5000, 0.7500).



[5]
BeCrW3: PBEsol geometry, meta-GGA SCAN.

The value obtained for the energy of formation from the pure elements is 1838 meV/atom. The volume comes out at 86.4 Å³/cell.

The space group is Pm-3m (No. 221) and the conventional cell measures 4.4206, 4.4206 and 4.4206 Å, with angles of 90.00, 90.00 and 90.00 degrees. Symmetry generates all atoms from Be at (0.0000, 0.0000, 0.0000), Cr at (0.5000, 0.5000, 0.5000) and W at (0.0000, 0.5000, 0.5000).



[6]
BeCrW: PBEsol geometry, meta-GGA SCAN.

The value obtained for the energy of formation from the pure elements is 224 meV/atom. The volume comes out at 73.3 Å³/cell.

The space group is Imm2 (No. 44) and the conventional cell measures 2.5153, 3.8478 and 7.5781 Å, with angles of 90.00, 90.00 and 90.00 degrees. Symmetry generates all atoms from Be at (0.0000, 0.0000, 0.0000), Cr at (0.0000, 0.0000, 0.6563) and W at (0.0000, 0.0000, 0.3328).



[7]
BeCrW: PBEsol geometry, meta-GGA SCAN.

The value obtained for the energy of formation from the pure elements is 202 meV/atom. The volume comes out at 144.1 Å³/cell.

The space group is Fmm2 (No. 42) and the conventional cell measures 3.1461, 4.1002 and 11.1739 Å, with angles of 90.00, 90.00 and 90.00 degrees. Symmetry generates all atoms from Be at (0.0000, 0.0000, 0.0000), Cr at (0.0000, 0.0000, 0.3528) and W at (0.0000, 0.0000, 0.6656).



[8]
YBeCr2: PBEsol geometry, meta-GGA SCAN.

The value obtained for the energy of formation from the pure elements is 703 meV/atom. The volume comes out at 183.5 Å³/cell.

The space group is R-3m (No. 166, hexagonal axes) and the conventional cell measures 3.0411, 3.0411 and 22.9065 Å, with angles of 90.00, 90.00 and 120.00 degrees. Symmetry generates all atoms from Y at (0.0000, 0.0000, 0.0000), Be at (0.0000, 0.0000, 0.5000) and Cr at (0.0000, 0.0000, 0.2312).